[1]
A plane-wave DFT calculation with GGA-PBE was carried out for an optimized crystal structure of RbTiSe2Br.

The energy above the most stable polymorph in this dataset comes out at 2045 meV/atom. Its calculated volume is 191 Å³/f.u. For the uncorrected formation energy, the calculation gives 0.941 eV/atom. The calculation puts the calculated total energy at -12.80 eV per cell.

Cell lengths 5.6956, 5.6956, 5.8739 Å; angles 90.00, 90.00, 90.00 degrees
Closest atoms and distances in Å follow each position.
Positions (direct):
Rb 0.0000 0.0000 0.0000  4 Se 2.85, 2 Br 2.94
Ti 0.5000 0.5000 0.5000  4 Br 4.03, 8 Se 4.09
Se 0.0000 0.5000 0.0000  2 Rb 2.85
Se 0.5000 0.0000 0.0000  2 Rb 2.85
Br 0.0000 0.0000 0.5000  2 Rb 2.94


[2]
A plane-wave DFT calculation with GGA-PBE was carried out for an optimized crystal structure of RbTlSeBr.

The energy above the most stable polymorph in this dataset comes out at 5 meV/atom. Its calculated volume is 149 Å³/f.u. For the uncorrected formation energy, the calculation gives -0.884 eV/atom. The calculation puts the calculated total energy at -12.03 eV per cell.

Cell lengths 4.2783, 4.2788, 8.1387 Å; angles 90.00, 90.64, 90.00 degrees
Closest atoms and distances in Å follow each position.
Positions (direct):
Rb 0.0000 0.0000 0.0000  4 Br 3.28, 1 Se 3.52
Tl 0.4880 0.5000 0.4707  1 Br 3.03, 4 Se 3.04
Se 0.9867 0.0000 0.4320  4 Tl 3.04
Br 0.4967 0.5000 0.8434  1 Tl 3.03, 4 Rb 3.28